[1]
First-principles (SCAN) data for Ce2Nd2O7 at its PBEsol-relaxed geometry, as listed in the Alexandria database.

a = 3.7742 Å, b = 7.8269 Å, c = 11.0653 Å
α = 90.00°, β = 90.00°, γ = 90.00°
Fractional positions:
Ce 0.5000 0.7500 0.2494
Ce 0.5000 0.2500 0.7506
Ce 0.0000 0.5000 0.0000
Ce 0.0000 0.0000 0.0000
Nd 0.0000 0.5000 0.5000
Nd 0.5000 0.2500 0.2274
Nd 0.0000 0.0000 0.5000
Nd 0.5000 0.7500 0.7726
O 0.0000 0.7500 0.3814
O 0.5000 0.5367 0.6288
O 0.0000 0.2500 0.8671
O 0.5000 0.4847 0.8810
O 0.5000 0.5153 0.1190
O 0.5000 0.9847 0.1190
O 0.0000 0.7500 0.1329
O 0.0000 0.2500 0.1164
O 0.5000 0.4633 0.3712
O 0.5000 0.0367 0.3712
O 0.5000 0.9633 0.6288
O 0.0000 0.2500 0.6186
O 0.0000 0.7500 0.8836
O 0.5000 0.0153 0.8810

Properties
E_form (uncorrected)   -3.65 eV per atom
Space-group type   Pmma
Offset from the most stable computed form   25 meV/atom
Total DFT energy (no corrections)   -23.65 eV per atom
Density   6.916 Mg/m³
Total magnetic moment   0.000 μB/atom
V   326.87 Å³/cell
DOS at the Fermi energy   0.000 states/eV per cell

=====

[2]
First-principles (SCAN) data for Ce2Nd2O7 at its PBEsol-relaxed geometry, as listed in the Alexandria database.

a = 7.7661 Å, b = 7.7661 Å, c = 7.7661 Å
α = 60.00°, β = 60.00°, γ = 60.00°
Fractional positions:
Ce 0.1250 0.6250 0.6250
Ce 0.6250 0.6250 0.6250
Ce 0.6250 0.6250 0.1250
Ce 0.6250 0.1250 0.6250
Nd 0.1250 0.6250 0.1250
Nd 0.6250 0.1250 0.1250
Nd 0.1250 0.1250 0.6250
Nd 0.1250 0.1250 0.1250
O 0.5265 0.9735 0.9735
O 0.7235 0.7235 0.2765
O 0.2765 0.7235 0.7235
O 0.5265 0.9735 0.5265
O 0.9735 0.5265 0.9735
O 0.9735 0.9735 0.5265
O 0.2500 0.2500 0.2500
O 0.2765 0.7235 0.2765
O 0.2765 0.2765 0.7235
O 0.0000 0.0000 0.0000
O 0.7235 0.2765 0.7235
O 0.9735 0.5265 0.5265
O 0.5265 0.5265 0.9735
O 0.7235 0.2765 0.2765

Properties
E_form (uncorrected)   -3.68 eV per atom
Space-group type   Fd-3m
Offset from the most stable computed form   0 meV/atom
Total DFT energy (no corrections)   -23.67 eV per atom
Density   6.826 Mg/m³
Total magnetic moment   0.000 μB/atom
V   331.21 Å³/cell
DOS at the Fermi energy   0.000 states/eV per cell

=====

[3]
First-principles (SCAN) data for CeNd4Zr3O14 at its PBEsol-relaxed geometry, as listed in the Alexandria database.

a = 7.5539 Å, b = 7.5539 Å, c = 7.5539 Å
α = 60.56°, β = 60.56°, γ = 60.56°
Fractional positions:
Ce 0.0000 0.0000 0.0000
Nd 0.5000 0.5000 0.5000
Nd 0.0000 0.5000 0.5000
Nd 0.5000 0.5000 0.0000
Nd 0.5000 0.0000 0.5000
Zr 0.5000 0.0000 0.0000
Zr 0.0000 0.0000 0.5000
Zr 0.0000 0.5000 0.0000
O 0.6241 0.6241 0.6241
O 0.3759 0.3759 0.3759
O 0.9126 0.3297 0.3297
O 0.3544 0.9027 0.9027
O 0.3297 0.3297 0.9126
O 0.9027 0.9027 0.3544
O 0.9027 0.3544 0.9027
O 0.3297 0.9126 0.3297
O 0.0874 0.6703 0.6703
O 0.6456 0.0973 0.0973
O 0.6703 0.6703 0.0874
O 0.0973 0.0973 0.6456
O 0.0973 0.6456 0.0973
O 0.6703 0.0874 0.6703

Properties
E_form (uncorrected)   -3.77 eV per atom
Space-group type   R-3m
Total DFT energy (no corrections)   -21.87 eV per atom
Density   6.535 Mg/m³
Total magnetic moment   0.000 μB/atom
V   308.64 Å³/cell
DOS at the Fermi energy   0.000 states/eV per cell

=====

[4]
First-principles (SCAN) data for CeNdS2 at its PBEsol-relaxed geometry, as listed in the Alexandria database.

a = 3.9936 Å, b = 3.9936 Å, c = 6.8947 Å
α = 73.17°, β = 73.17°, γ = 60.00°
Fractional positions:
S 0.2514 0.2514 0.2459
S 0.7486 0.7486 0.7541
Nd 0.5000 0.5000 0.5000
Ce 0.0000 0.0000 0.0000

Properties
E_form (uncorrected)   -2.27 eV per atom
Space-group type   R-3m
Total DFT energy (no corrections)   -29.12 eV per atom
Density   6.448 Mg/m³
Total magnetic moment   0.254 μB/atom
V   89.75 Å³/cell
DOS at the Fermi energy   4.206 states/eV per cell